{"formula": "Na4Tl2Hg5", "functional": "GGA-PBE", "state": "relaxed", "ef_ev_per_atom": -0.174, "vol_a3_per_cell": 298, "magmom_total_mub_per_cell": 0.00, "n_ef_per_ev_cell": 4.4, "cell": [[8.163, 0.000, 0.000], [0.000, 3.426, 0.000], [-1.121, 0.000, 10.647]], "species": ["Na", "Na", "Na", "Na", "Tl", "Tl", "Hg", "Hg", "Hg", "Hg", "Hg"], "frac_coords": [[0.173, 0.000, 0.400], [0.292, 0.000, 0.938], [0.708, 0.000, 0.062], [0.827, 0.000, 0.600], [0.065, 0.500, 0.141], [0.935, 0.500, 0.859], [0.189, 0.500, 0.658], [0.447, 0.500, 0.203], [0.500, 0.500, 0.500], [0.553, 0.500, 0.797], [0.811, 0.500, 0.342]]}

---

{"formula": "MnCuCSeN", "functional": "GGA-PBE", "state": "relaxed", "e_form_raw_mev_per_atom": 169, "vol_a3_per_cell": 74, "magmom_total_mub_per_cell": 3.53, "n_ef_per_ev_cell": 1.7, "cell": [[3.822, 0.000, 0.000], [1.782, 3.730, 0.000], [0.375, 0.048, 5.192]], "species": ["Mn", "Cu", "C", "Se", "N"], "frac_coords": [[0.000, 0.000, 0.000], [0.204, 0.436, 0.632], [0.855, 0.532, 0.966], [0.897, 0.073, 0.491], [0.576, 0.818, 0.027]]}